DFT (PBE) results for crystalline KCdCo2 at its relaxed geometry.

Cell and atoms, written as POSCAR:
```
KCdCo2
1.0
-0.012 -1.627 4.560
-2.510 -1.545 -0.558
3.035 -5.565 -1.978
Cd Co K
1 2 1
Direct
0.500 0.750 0.750
0.000 0.979 0.873
0.000 0.521 0.627
0.500 0.250 0.250
```

## Properties
The value obtained for the density of states at the Fermi level is 4.9 states/eV/f.u. Its size of the total moment is 3.5 Bohr magnetons per cell. For the formation enthalpy at 0 K, the calculation gives 659 meV per atom. Its mass density is 4664 kg/m3.

=====

DFT (PBE) results for crystalline KLa2CdCo at its relaxed geometry.

Cell and atoms, written as POSCAR:
```
KLa2CdCo
1.0
5.359 0.000 0.000
0.000 5.359 0.000
0.000 0.000 5.430
K Cd Co La
1 1 1 2
Direct
0.500 0.500 0.500
0.000 0.000 0.500
0.000 0.000 0.000
0.000 0.500 0.000
0.500 0.000 0.000
```

## Properties
The value obtained for the density of states at the Fermi level is 5.3 states/eV/f.u. Its size of the total moment is 0.0 Bohr magnetons per cell. For the formation enthalpy at 0 K, the calculation gives 19 meV per atom. Its mass density is 5199 kg/m3.

=====

Number 2 is which compound? KLa2CdCo

=====

mass density of number 1 (KCdCo2)? 4664 kg/m3

=====

formation enthalpy at 0 K of number 1 (KCdCo2)? 659 meV per atom